MgSb | PBE | relaxed

**Raw formation energy**: -0.080 eV per atom
**Symmetry**: No. 187
**Calculated volume**: 25.8 Å³ per atom
**Total DFT energy (no corrections)**: -5.9 eV per cell

Cell lengths 3.719, 3.719, 4.301 Å; angles 90.00, 90.00, 120.00 degrees
Atoms (fractional coordinates):
Sb1 0.667 0.333 0.500
Mg1 0.000 0.000 0.000